! PBE LiNiSb6, optimized geometry; values from VASP
! * spin magnetization: 0.000 μB per atom
! * ΔE_f (raw): -0.0955 eV per atom
! * final energy: -66.388 eV for the cell shown
! * space group: C2/m
&SYSTEM
  ibrav = 0, nat = 16, ntyp = 3
/
ATOMIC_SPECIES
Li 6.94 Li.upf
Ni 58.69 Ni.upf
Sb 121.76 Sb.upf
ATOMIC_POSITIONS angstrom
Li 3.2929 2.3005 0.0000
Li 3.2929 -2.3005 0.0000
Ni 0.0768 2.3005 3.5027
Ni 0.0768 -2.3005 3.5027
Sb 2.3251 3.0789 2.4773
Sb 1.0437 3.1396 5.7766
Sb 5.6956 3.1396 1.2288
Sb 4.4142 3.0789 4.5280
Sb 1.2266 0.0000 3.6619
Sb 3.2040 0.0000 1.5299
Sb 3.5353 0.0000 5.4754
Sb 5.5127 0.0000 3.3435
Sb 2.3251 -3.0789 2.4773
Sb 1.0437 -3.1396 5.7766
Sb 5.6956 -3.1396 1.2288
Sb 4.4142 -3.0789 4.5280
CELL_PARAMETERS angstrom
6.5857 -4.6011 0.0000
6.5857 4.6011 0.0000
-6.4321 0.0000 7.0053